Record 1
VOsPd2 GGA-PBE relaxed; total DFT energy (no corrections) = -7.311 eV/atom; energy of formation from the pure elements = 36.0 kJ per mole of atoms; spin magnetization = 0.1622 μB per atom
1.0
1.6323 -3.7948 -1.4896
-0.6946 -3.7164 2.2337
-2.6959 -3.0644 -1.6203
Os Pd V
1 2 1
direct
0.5000 0.5000 0.5000
0.2500 0.2500 0.2500
0.7500 0.7500 0.7500
0.0000 0.0000 0.0000

=====

Record 2
VOsPd GGA-PBE relaxed; total DFT energy (no corrections) = -8.536 eV/atom; energy of formation from the pure elements = -2.1 kJ per mole of atoms; spin magnetization = 0.0013 μB per atom
1.0
2.8100 0.0000 0.0000
0.0000 2.8100 0.0000
-1.4050 -1.4050 5.5474
Os Pd V
1 1 1
direct
0.3172 0.3172 0.6344
0.0059 0.0059 0.0118
0.6769 0.6769 0.3539

=====

Record 3
V2OsPd GGA-PBE relaxed; total DFT energy (no corrections) = -8.702 eV/atom; energy of formation from the pure elements = -3.6 kJ per mole of atoms; spin magnetization = 0.0004 μB per atom
1.0
2.7394 0.0000 0.0000
1.3697 2.3724 0.0000
1.3697 0.7908 8.7605
Os Pd V
1 1 2
direct
0.0000 0.0000 0.0000
0.5000 0.5000 0.5000
0.2514 0.2514 0.2457
0.7486 0.7486 0.7543

=====

- What is the total DFT energy (no corrections) in the first record?
  -7.311 eV/atom

=====

- Which value of spin magnetization does entry 3 give?
  0.0004 μB per atom